A relaxed KPt3Pb3 crystal, computed with PBE.

The total energy is -4.472 eV/atom. For the theoretical density, the calculation gives 10.0 g/cm³. The value obtained for the relative energy among the computed polymorphs is 0.00 eV/f.u. The value obtained for the formation energy is -0.1373 eV/atom.

Unit cell a=9.5438 b=9.5438 c=9.5438 alpha=46.28 beta=46.28 gamma=46.28
With the nearest neighbours (Å) after each atom.
Fractional positions:
K 0.1535 0.1535 0.1535  3 Pt 3.39, 3 Pb 3.70
K 0.8465 0.8465 0.8465  3 Pt 3.39, 3 Pb 3.70
Pt 0.0374 0.8025 0.2821  3 Pb 2.69-2.79, 2 Pt 2.75
Pt 0.1975 0.7179 0.9626  3 Pb 2.69-2.79, 2 Pt 2.75
Pt 0.2821 0.0374 0.8025  3 Pb 2.69-2.79, 2 Pt 2.75
Pt 0.7179 0.9626 0.1975  3 Pb 2.69-2.79, 2 Pt 2.75
Pt 0.8025 0.2821 0.0374  3 Pb 2.69-2.79, 2 Pt 2.75
Pt 0.9626 0.1975 0.7179  3 Pb 2.69-2.79, 2 Pt 2.75
Pb 0.0755 0.4757 0.6491  3 Pt 2.69-2.79
Pb 0.3509 0.9245 0.5243  3 Pt 2.69-2.79
Pb 0.4757 0.6491 0.0755  3 Pt 2.69-2.79
Pb 0.5243 0.3509 0.9245  3 Pt 2.69-2.79
Pb 0.6491 0.0755 0.4757  3 Pt 2.69-2.79
Pb 0.9245 0.5243 0.3509  3 Pt 2.69-2.79